# PBE+U CaLa2CrO6, relaxed
data_CaLa2CrO6
_chemical_formula_sum 'Ca3 La6 Cr3 O18'
_space_group_name_H-M_alt 'R -3'
_space_group_IT_number 148
_space_group_name_Hall '-R 3'
_cell_length_a 5.8647
_cell_length_b 5.8647
_cell_length_c 13.7390
_cell_angle_alpha 90.00
_cell_angle_beta 90.00
_cell_angle_gamma 120.00
loop_
_atom_site_label
_atom_site_fract_x
_atom_site_fract_y
_atom_site_fract_z
_atom_site_occupancy
Ca1 0.0000 0.0000 0.0000 1
La1 0.0000 0.0000 0.2624 1
Cr1 0.0000 0.0000 0.5000 1
O1 0.0417 0.4248 0.2500 1
# VASP energy (eV/atom): -7.72
# Total magnetization (μB per cell): 5.9